DFT (PBE) results for a relaxed Ca2Cu9O13 crystal.

abc: 5.1833 5.1833 16.3712
angles: 98.39 98.39 34.57
Fractional coordinates of all 24 atoms:
1 Ca 0.2269 0.2269 0.2289
2 Ca 0.7731 0.7731 0.7711
3 Cu 0.0044 0.0044 0.3374
4 Cu 0.0543 0.0543 0.8803
5 Cu 0.2435 0.2435 0.5784
6 Cu 0.3495 0.3495 0.9624
7 Cu 0.5000 0.5000 0.5000
8 Cu 0.6505 0.6505 0.0376
9 Cu 0.7565 0.7565 0.4216
10 Cu 0.9457 0.9457 0.1197
11 Cu 0.9956 0.9956 0.6626
12 O 0.0000 0.0000 0.0000
13 O 0.1053 0.1053 0.7728
14 O 0.1332 0.1332 0.4702
15 O 0.3044 0.3044 0.0726
16 O 0.3649 0.3649 0.6780
17 O 0.3966 0.3966 0.3873
18 O 0.4135 0.4135 0.8613
19 O 0.5865 0.5865 0.1387
20 O 0.6034 0.6034 0.6127
21 O 0.6351 0.6351 0.3220
22 O 0.6956 0.6956 0.9274
23 O 0.8668 0.8668 0.5298
24 O 0.8947 0.8947 0.2272

Values from the calculation:
N(E_F) = 17.83 states/eV/f.u.
Symmetry = C2/m (12)
Total DFT energy (no corrections) = -5.25 eV per atom
Uncorrected formation energy = -0.861 eV/atom